Below is crystalline SrCa3Rh at its relaxed geometry, with properties calculated at the PBE level.

a = 9.853 Å, b = 9.853 Å, c = 7.789 Å
α = 101.99°, β = 101.99°, γ = 79.23°
Element x y z (fractional)
Sr (0.166, 0.834, 0.750)
Sr (0.257, 0.743, 0.250)
Sr (0.743, 0.257, 0.750)
Sr (0.834, 0.166, 0.250)
Ca (0.068, 0.356, 0.630)
Ca (0.092, 0.363, 0.098)
Ca (0.351, 0.467, 0.552)
Ca (0.356, 0.068, 0.130)
Ca (0.363, 0.092, 0.598)
Ca (0.467, 0.351, 0.052)
Ca (0.533, 0.649, 0.948)
Ca (0.637, 0.908, 0.402)
Ca (0.644, 0.932, 0.870)
Ca (0.649, 0.533, 0.448)
Ca (0.908, 0.637, 0.902)
Ca (0.932, 0.644, 0.370)
Rh (0.217, 0.539, 0.892)
Rh (0.461, 0.783, 0.608)
Rh (0.539, 0.217, 0.392)
Rh (0.783, 0.461, 0.108)

Summary:
Distance to the lowest polymorph of the same formula, kcal/mol of atoms: 2.177
Energy, eV/atom: -3.141
Formation energy, kJ/mol of formula units: -64